# HoB4Pb | OQMD via LeMat-Bulk | PBE-GGA | optimized geometry
data_HoB4Pb
_cell_length_a 3.2448
_cell_length_b 3.2448
_cell_length_c 8.4497
_cell_angle_alpha 90.00
_cell_angle_beta 90.00
_cell_angle_gamma 120.00
_space_group_name_H-M_alt 'P 6/m m m'
_space_group_IT_number 191
_space_group_name_Hall '-P 6 2'
loop_
_atom_site_label
_atom_site_type_symbol
_atom_site_fract_x
_atom_site_fract_y
_atom_site_fract_z
_atom_site_occupancy
Ho1 Ho 0.0000 0.0000 0.0000 1
B1 B 0.3333 0.6667 0.2215 1
Pb1 Pb 0.0000 0.0000 0.5000 1
# Crystal system   hexagonal
# DFT total energy   -34.74 eV for the cell shown
# Energy relative to the lowest polymorph listed for this composition   0.0 meV per atom
# Spin magnetization   0.01 μB/f.u.